# RbV2InCl8 (GGA-PBE, relaxed)
# size of the total moment = 4.000 μB/f.u.
# density = 2.3 g/cm³
# raw formation energy = -28.83 kcal/mol of atoms
# final energy = -4.31 eV/atom
data_RbV2InCl8
_space_group_name_H-M_alt 'P 1'
_space_group_IT_number 1
_cell_length_a 6.826
_cell_length_b 6.826
_cell_length_c 10.518
_cell_angle_alpha 90.00
_cell_angle_beta 90.00
_cell_angle_gamma 120.00
loop_
_space_group_symop_operation_xyz
'x,y,z'
loop_
_atom_site_label
_atom_site_type_symbol
_atom_site_fract_x
_atom_site_fract_y
_atom_site_fract_z
Rb1 Rb 0.000 0.000 0.000
V1 V 0.333 0.667 0.779
V2 V 0.667 0.333 0.221
In1 In 0.000 0.000 0.500
Cl1 Cl 0.033 0.343 0.715
Cl2 Cl 0.310 0.967 0.715
Cl3 Cl 0.333 0.667 0.991
Cl4 Cl 0.343 0.310 0.285
Cl5 Cl 0.657 0.690 0.715
Cl6 Cl 0.667 0.333 0.009
Cl7 Cl 0.690 0.033 0.285
Cl8 Cl 0.967 0.657 0.285